Record 1
# LiPm2BeRh2

A relaxed structure of LiPm2BeRh2 (PBE-GGA, the Alexandria database).

Calculated values
Energy of formation: -2.94 eV/f.u.

The structure in CIF format:
```
data_LiPm2BeRh2
_cell_length_a 5.717
_cell_length_b 14.074
_cell_length_c 5.648
_cell_angle_alpha 90.00
_cell_angle_beta 90.00
_cell_angle_gamma 90.00
_space_group_name_H-M_alt 'I b a m'
_space_group_IT_number 72
_space_group_name_Hall '-I 2 2c'
loop_
_atom_site_label
_atom_site_fract_x
_atom_site_fract_y
_atom_site_fract_z
Li1 0.000 0.000 0.250
Pm1 0.241 0.164 0.000
Be1 0.000 0.500 0.250
Rh1 0.216 0.389 0.000
```

=====

Record 2
# Cs4TmCl7

A relaxed structure of Cs4TmCl7 (PBE-GGA, the Alexandria database).

Calculated values
Total DFT energy (no corrections): -86.42 eV per cell

The structure in CIF format:
```
data_Cs4TmCl7
_cell_length_a 17.688
_cell_length_b 5.124
_cell_length_c 14.597
_cell_angle_alpha 90.00
_cell_angle_beta 126.40
_cell_angle_gamma 90.00
_space_group_name_H-M_alt 'C 1 2/m 1'
_space_group_IT_number 12
loop_
_space_group_symop_operation_xyz
'x,y,z'
'-x,-y,-z'
'-x,y,-z'
'x,-y,z'
'x+1/2,y+1/2,z'
'-x+1/2,-y+1/2,-z'
'-x+1/2,y+1/2,-z'
'x+1/2,-y+1/2,z'
loop_
_atom_site_label
_atom_site_fract_x
_atom_site_fract_y
_atom_site_fract_z
Cs1 0.129 0.000 0.231
Cs2 0.140 0.500 0.859
Tm1 0.000 0.000 0.500
Cl1 0.000 0.500 0.500
Cl2 0.092 0.500 0.359
Cl3 0.118 0.000 0.988
Cl4 0.158 0.000 0.688
```

=====

Record 3
# BaHfHgI6

A relaxed structure of BaHfHgI6 (PBE-GGA, the Alexandria database).

Calculated values
Total DFT energy (no corrections): -62.11 eV per cell

The structure in CIF format:
```
data_BaHfHgI6
_cell_length_a 8.3174
_cell_length_b 8.3174
_cell_length_c 17.7744
_cell_angle_alpha 90.00
_cell_angle_beta 90.00
_cell_angle_gamma 120.00
_space_group_name_H-M_alt 'P -3 1 c'
_space_group_IT_number 163
_space_group_name_Hall '-P 3 2c'
loop_
_atom_site_label
_atom_site_fract_x
_atom_site_fract_y
_atom_site_fract_z
Ba1 0.3333 0.6667 0.2500
Hf1 0.3333 0.6667 0.7500
Hg1 0.0000 0.0000 0.0000
I1 0.0549 0.3891 0.6545
```

=====

Record 4
# KTa2Ru

A relaxed structure of KTa2Ru (PBE-GGA, the Alexandria database).

Calculated values
ΔE to the lowest computed polymorph: 283 meV per atom
Energy of formation: 3.08 eV/f.u.

The structure in CIF format:
```
data_KTa2Ru
_cell_length_a 8.508
_cell_length_b 2.976
_cell_length_c 7.834
_cell_angle_alpha 90.00
_cell_angle_beta 94.25
_cell_angle_gamma 90.00
_space_group_name_H-M_alt 'C 1 m 1'
_space_group_IT_number 8
loop_
_space_group_symop_operation_xyz
'x,y,z'
'x,-y,z'
'x+1/2,y+1/2,z'
'x+1/2,-y+1/2,z'
loop_
_atom_site_label
_atom_site_fract_x
_atom_site_fract_y
_atom_site_fract_z
K1 0.000 0.000 0.000
Ta1 0.224 0.000 0.635
Ta2 0.495 0.000 0.452
Ru1 0.263 0.500 0.331
```

=====

Record 5
# Tm2ZrHg6

A relaxed structure of Tm2ZrHg6 (PBE-GGA, the Alexandria database).

Calculated values
Energy of formation: -2.14 eV/f.u.

The structure in CIF format:
```
data_Tm2ZrHg6
_cell_length_a 14.128
_cell_length_b 11.440
_cell_length_c 5.337
_cell_angle_alpha 90.00
_cell_angle_beta 99.96
_cell_angle_gamma 90.00
_space_group_name_H-M_alt 'C 1 2/c 1'
_space_group_IT_number 15
loop_
_space_group_symop_operation_xyz
'x,y,z'
'-x,-y,-z'
'-x,y,-z+1/2'
'x,-y,z+1/2'
'x+1/2,y+1/2,z'
'-x+1/2,-y+1/2,-z'
'-x+1/2,y+1/2,-z+1/2'
'x+1/2,-y+1/2,z+1/2'
loop_
_atom_site_label
_atom_site_fract_x
_atom_site_fract_y
_atom_site_fract_z
Tm1 0.166 0.124 0.082
Zr1 0.000 0.390 0.250
Hg1 0.056 0.131 0.526
Hg2 0.110 0.371 0.804
Hg3 0.219 0.376 0.361
```

=====

Record 6
# Ce7HgPt4

A relaxed structure of Ce7HgPt4 (PBE-GGA, the Alexandria database).

Calculated values
Energy of formation: -7.37 eV/f.u.

The structure in CIF format:
```
data_Ce7HgPt4
_cell_length_a 13.352
_cell_length_b 5.691
_cell_length_c 9.843
_cell_angle_alpha 90.00
_cell_angle_beta 125.01
_cell_angle_gamma 90.00
_space_group_name_H-M_alt 'C 1 2/m 1'
_space_group_IT_number 12
loop_
_space_group_symop_operation_xyz
'x,y,z'
'-x,-y,-z'
'-x,y,-z'
'x,-y,z'
'x+1/2,y+1/2,z'
'-x+1/2,-y+1/2,-z'
'-x+1/2,y+1/2,-z'
'x+1/2,-y+1/2,z'
loop_
_atom_site_label
_atom_site_fract_x
_atom_site_fract_y
_atom_site_fract_z
Ce1 0.000 0.000 0.000
Ce2 0.067 0.500 0.373
Ce3 0.189 0.000 0.632
Ce4 0.190 0.500 0.884
Hg1 0.000 0.500 0.000
Pt1 0.061 0.000 0.769
Pt2 0.203 0.000 0.331
```

=====

Record 7
# CaSiPt

A relaxed structure of CaSiPt (PBE-GGA, the Alexandria database).

Calculated values
Total DFT energy (no corrections): -65.55 eV per cell

The structure in CIF format:
```
data_CaSiPt
_cell_length_a 5.933
_cell_length_b 5.871
_cell_length_c 7.742
_cell_angle_alpha 90.00
_cell_angle_beta 117.18
_cell_angle_gamma 90.00
_space_group_name_H-M_alt 'P 1 21/c 1'
_space_group_IT_number 14
loop_
_space_group_symop_operation_xyz
'x,y,z'
'-x,-y,-z'
'-x,y+1/2,-z+1/2'
'x,-y+1/2,z+1/2'
loop_
_atom_site_label
_atom_site_fract_x
_atom_site_fract_y
_atom_site_fract_z
Ca1 0.204 0.128 0.386
Si1 0.231 0.619 0.551
Pt1 0.378 0.610 0.308
```

=====

Record 8
# TaZn2As

A relaxed structure of TaZn2As (PBE-GGA, the Alexandria database).

Calculated values
Energy of formation: 1.00 eV/f.u.

The structure in CIF format:
```
data_TaZn2As
_cell_length_a 7.363
_cell_length_b 7.363
_cell_length_c 5.117
_cell_angle_alpha 90.00
_cell_angle_beta 90.00
_cell_angle_gamma 90.00
_space_group_name_H-M_alt 'I -4 2 d'
_space_group_IT_number 122
_space_group_name_Hall 'I -4 2bw'
loop_
_atom_site_label
_atom_site_fract_x
_atom_site_fract_y
_atom_site_fract_z
Ta1 0.000 0.000 0.000
Zn1 0.230 0.250 0.625
As1 0.000 0.000 0.500
```

=====

Record 9
# Cu5H12Pt3

A relaxed structure of Cu5H12Pt3 (PBE-GGA, the Alexandria database).

Calculated values
Total DFT energy (no corrections): -596.00 eV per cell

The structure in CIF format:
```
data_Cu5H12Pt3
_cell_length_a 10.911
_cell_length_b 10.911
_cell_length_c 10.911
_cell_angle_alpha 90.00
_cell_angle_beta 90.00
_cell_angle_gamma 90.00
_space_group_name_H-M_alt 'I a -3 d'
_space_group_IT_number 230
_space_group_name_Hall '-I 4bd 2c 3'
loop_
_atom_site_label
_atom_site_fract_x
_atom_site_fract_y
_atom_site_fract_z
Cu1 0.000 0.000 0.000
Cu2 0.000 0.250 0.375
H1 0.012 0.056 0.342
Pt1 0.000 0.250 0.125
```

=====

Record 10
# H2SeCl8

A relaxed structure of H2SeCl8 (PBE-GGA, the Alexandria database).

Calculated values
Total DFT energy (no corrections): -27.14 eV per cell

The structure in CIF format:
```
data_H2SeCl8
_cell_length_a 6.939
_cell_length_b 7.032
_cell_length_c 7.704
_cell_angle_alpha 97.32
_cell_angle_beta 113.94
_cell_angle_gamma 93.53
_space_group_name_H-M_alt 'P -1'
_space_group_IT_number 2
loop_
_space_group_symop_operation_xyz
'x,y,z'
'-x,-y,-z'
loop_
_atom_site_label
_atom_site_fract_x
_atom_site_fract_y
_atom_site_fract_z
H1 0.207 0.225 0.187
Se1 0.000 0.500 0.500
Cl1 0.056 0.473 0.217
Cl2 0.173 0.236 0.584
Cl3 0.302 0.079 0.146
Cl4 0.316 0.698 0.662
```

=====

Record 11
# Tb3Ho6Er2

A relaxed structure of Tb3Ho6Er2 (PBE-GGA, the Alexandria database).

Calculated values
ΔE to the lowest computed polymorph: 0 meV per atom
Energy of formation: 0.22 eV/f.u.

The structure in CIF format:
```
data_Tb3Ho6Er2
_cell_length_a 3.5240
_cell_length_b 3.5240
_cell_length_c 94.6764
_cell_angle_alpha 90.00
_cell_angle_beta 90.00
_cell_angle_gamma 120.00
_space_group_name_H-M_alt 'R -3 m'
_space_group_IT_number 166
_space_group_name_Hall '-R 3 2"'
loop_
_atom_site_label
_atom_site_fract_x
_atom_site_fract_y
_atom_site_fract_z
Tb1 0.0000 0.0000 0.0000
Tb2 0.0000 0.0000 0.2725
Ho1 0.0000 0.0000 0.0913
Ho2 0.0000 0.0000 0.1818
Ho3 0.0000 0.0000 0.3637
Er1 0.0000 0.0000 0.4547
```

=====

Record 12
# Ce2Sn3Bi

A relaxed structure of Ce2Sn3Bi (PBE-GGA, the Alexandria database).

Calculated values
Energy of formation: -2.51 eV/f.u.

The structure in CIF format:
```
data_Ce2Sn3Bi
_cell_length_a 20.010
_cell_length_b 4.363
_cell_length_c 8.955
_cell_angle_alpha 90.00
_cell_angle_beta 115.53
_cell_angle_gamma 90.00
_space_group_name_H-M_alt 'C 1 2/m 1'
_space_group_IT_number 12
loop_
_space_group_symop_operation_xyz
'x,y,z'
'-x,-y,-z'
'-x,y,-z'
'x,-y,z'
'x+1/2,y+1/2,z'
'-x+1/2,-y+1/2,-z'
'-x+1/2,y+1/2,-z'
'x+1/2,-y+1/2,z'
loop_
_atom_site_label
_atom_site_fract_x
_atom_site_fract_y
_atom_site_fract_z
Ce1 0.022 0.000 0.371
Ce2 0.242 0.000 0.800
Sn1 0.079 0.500 0.165
Sn2 0.124 0.000 0.987
Sn3 0.194 0.000 0.396
Bi1 0.111 0.500 0.681
```